{
  "formula": "TlCo2Pd2",
  "functional": "PBE-GGA",
  "state": "optimized geometry",
  "formation_enthalpy_0k_ev_per_atom": 0.249,
  "e_tot_ev_per_cell": -51.44,
  "polymorph_energy_mev_per_atom": 0,
  "magmom_total_mub_per_fu": 4.3,
  "cell": [[7.376, 0.000, 0.000], [0.000, 7.376, 0.000], [0.000, 0.000, 2.895]],
  "species": ["Tl", "Tl", "Co", "Co", "Co", "Co", "Pd", "Pd", "Pd", "Pd"],
  "frac_coords": [[0.000, 0.000, 0.000], [0.500, 0.500, 0.000], [0.110, 0.390, 0.000], [0.390, 0.890, 0.000], [0.610, 0.110, 0.000], [0.890, 0.610, 0.000], [0.180, 0.680, 0.500], [0.320, 0.180, 0.500], [0.680, 0.820, 0.500], [0.820, 0.320, 0.500]]
}